VASP calculation (PBE with a Hubbard U) on an optimized crystal structure of Nd3MnO7.

Lattice parameters (Å, degrees): 6.631 6.631 7.598 90.00 90.00 109.08
Positions (direct):
Nd (0.030, 0.030, 0.000)
Nd (0.039, 0.497, 0.256)
Nd (0.497, 0.039, 0.744)
Nd (0.503, 0.961, 0.244)
Nd (0.961, 0.503, 0.756)
Nd (0.970, 0.970, 0.500)
Mn (0.495, 0.495, 0.000)
Mn (0.505, 0.505, 0.500)
O (0.130, 0.870, 0.750)
O (0.135, 0.865, 0.250)
O (0.186, 0.426, 0.976)
O (0.199, 0.438, 0.533)
O (0.426, 0.186, 0.024)
O (0.437, 0.563, 0.250)
O (0.438, 0.199, 0.467)
O (0.562, 0.801, 0.967)
O (0.563, 0.437, 0.750)
O (0.574, 0.814, 0.524)
O (0.801, 0.562, 0.033)
O (0.814, 0.574, 0.476)
O (0.865, 0.135, 0.750)
O (0.870, 0.130, 0.250)

Computed properties:
Size of the total moment = 2.0 μB/f.u.
E_tot = -7.756 eV/atom
DOS(E_F) = 0.57 states/eV/atom
Symmetry = C222_1 (20)
V = 14.354 Å³/atom